*1*
A plane-wave DFT calculation with GGA-PBE was carried out for CsLaMo after structural relaxation.

a = 5.3461 Å, b = 5.3461 Å, c = 5.3461 Å
α = 60.00°, β = 60.00°, γ = 60.00°
Last column: nearest neighbours and their distance in Å.
Element x y z (fractional)
Cs: 0.0000 0.0000 0.0000  4 La 3.27
La: 0.2500 0.2500 0.2500  4 Mo 3.27, 4 Cs 3.27
Mo: 0.5000 0.5000 0.5000  4 La 3.27

Results
space-group type	F-43m, No. 216
mass density	5.65	g cm⁻³


*2*
A plane-wave DFT calculation with GGA-PBE was carried out for CsLaMo after structural relaxation.

a = 5.2209 Å, b = 5.2209 Å, c = 5.2209 Å
α = 60.00°, β = 60.00°, γ = 60.00°
Last column: nearest neighbours and their distance in Å.
Element x y z (fractional)
Cs: 0.0000 0.0000 0.0000  4 La 3.20, 4 Mo 3.20
La: 0.7500 0.7500 0.7500  4 Cs 3.20
Mo: 0.2500 0.2500 0.2500  4 Cs 3.20

Results
space-group type	F-43m, No. 216
mass density	6.07	g cm⁻³


Which structure is most stable? *1*, by 136 meV/atom over the runner-up.